The following is a GGA-PBE calculation of a relaxed structure of CuBi3P, from the Alexandria database.

The structure in POSCAR format:
```
CuBi3P
1.0
5.2019 0.0000 0.0000
0.0000 5.2019 0.0000
0.0000 0.0000 5.2019
Bi Cu P
3 1 1
Cartesian
2.6009 0.0000 0.0000
0.0000 0.0000 2.6009
0.0000 2.6009 0.0000
0.0000 0.0000 0.0000
2.6009 2.6009 2.6009
```

Results
Fermi-level density of states, states/eV per atom: 0.969
Energy of formation from the pure elements, meV per atom: 719
Calculated total energy, eV per atom: -3.5106
Relative energy among the computed polymorphs, eV/f.u.: 0.00
SG: No. 221
Magnetization, Bohr magnetons per cell: 0.00

---

The following is a GGA-PBE calculation of a relaxed structure of Cu2Bi2P, from the Alexandria database.

The structure in POSCAR format:
```
Cu2Bi2P
1.0
6.6184 0.0000 0.0000
0.0000 6.6184 0.0000
0.0000 0.0000 4.6349
Bi Cu P
4 4 2
Cartesian
2.1388 1.1704 2.3175
1.1704 4.4796 2.3175
5.4480 2.1388 2.3175
4.4796 5.4480 2.3175
0.9053 2.4039 0.0000
5.7131 4.2146 0.0000
4.2146 0.9053 0.0000
2.4039 5.7131 0.0000
0.0000 0.0000 0.0000
3.3092 3.3092 0.0000
```

Results
Fermi-level density of states, states/eV per atom: 0.349
Energy of formation from the pure elements, meV per atom: 305
Calculated total energy, eV per atom: -3.9677
SG: No. 127
Magnetization, Bohr magnetons per cell: 0.00

---

The following is a GGA-PBE calculation of a relaxed structure of CuBiP3, from the Alexandria database.

The structure in POSCAR format:
```
CuBiP3
1.0
-0.4836 4.2123 -1.7802
-2.0502 1.4004 3.8707
4.0877 1.2007 1.7307
Bi P Cu
1 3 1
Cartesian
0.7770 3.4067 1.9106
2.0439 0.6004 0.8654
-0.2418 2.1062 -0.8901
-1.0251 0.7002 1.9353
0.0000 0.0000 0.0000
```

Results
Fermi-level density of states, states/eV per atom: 1.069
Energy of formation from the pure elements, meV per atom: 678
Calculated total energy, eV per atom: -4.1637
Relative energy among the computed polymorphs, eV/f.u.: 0.00
SG: No. 221
Magnetization, Bohr magnetons per cell: 0.00

---

The following is a GGA-PBE calculation of a relaxed structure of CuBi2P, from the Alexandria database.

The structure in POSCAR format:
```
CuBi2P
1.0
6.1869 0.0000 0.0000
0.0000 6.1869 0.0000
3.0934 3.0934 6.1904
Cu Bi P
2 4 2
Cartesian
0.0000 0.0000 0.0000
6.1869 3.0934 3.0952
1.4533 4.6401 1.5476
4.7336 1.5467 1.5476
4.6401 4.5467 4.6428
7.7336 7.8270 4.6428
3.0934 6.1869 3.0952
3.0934 3.0934 0.0000
```

Results
Fermi-level density of states, states/eV per atom: 0.079
Energy of formation from the pure elements, meV per atom: 273
Calculated total energy, eV per atom: -4.0440
SG: No. 122
Magnetization, Bohr magnetons per cell: 0.00

---

The following is a GGA-PBE calculation of a relaxed structure of CuBiP3, from the Alexandria database.

The structure in POSCAR format:
```
CuBiP3
1.0
5.2496 0.0000 0.0000
0.0000 5.2496 0.0000
0.0000 0.0000 5.2496
Cu Bi P
1 1 3
Cartesian
2.6248 2.6248 2.6248
0.0000 0.0000 0.0000
0.0000 2.6248 0.0000
2.6248 0.0000 0.0000
0.0000 0.0000 2.6248
```

Results
Fermi-level density of states, states/eV per atom: 1.024
Energy of formation from the pure elements, meV per atom: 1713
Calculated total energy, eV per atom: -3.1286
Relative energy among the computed polymorphs, eV/f.u.: 5.18
SG: No. 221
Magnetization, Bohr magnetons per cell: 1.24

---

The following is a GGA-PBE calculation of a relaxed structure of Cu2BiPPt, from the Alexandria database.

The structure in POSCAR format:
```
Cu2BiPPt
1.0
-1.2200 4.6329 0.8277
0.0584 -0.9049 5.1509
4.7059 1.2108 0.1594
Cu P Pt Bi
2 1 1 1
Cartesian
-0.6100 2.3164 0.4138
2.3529 0.6054 0.0797
1.7721 2.4694 3.0690
0.0292 -0.4524 2.5754
0.0000 0.0000 0.0000
```

Results
Fermi-level density of states, states/eV per atom: 0.896
Energy of formation from the pure elements, meV per atom: 1314
Calculated total energy, eV per atom: -3.3913
SG: No. 123
Magnetization, Bohr magnetons per cell: 1.41

---

The following is a GGA-PBE calculation of a relaxed structure of Cu2ReBiP, from the Alexandria database.

The structure in POSCAR format:
```
Cu2ReBiP
1.0
-1.5993 1.7253 -4.1001
-4.9135 -0.7433 1.6039
-0.0537 4.3492 1.8511
Cu P Bi Re
2 1 1 1
Cartesian
-0.7997 0.8627 -2.0500
-0.0268 2.1746 0.9255
-3.2833 2.6656 -0.3226
-2.4568 -0.3716 0.8019
0.0000 0.0000 0.0000
```

Results
Fermi-level density of states, states/eV per atom: 1.125
Energy of formation from the pure elements, meV per atom: 1487
Calculated total energy, eV per atom: -4.4988
SG: No. 123
Magnetization, Bohr magnetons per cell: 1.42

---

The following is a GGA-PBE calculation of a relaxed structure of CuBiP2S, from the Alexandria database.

The structure in POSCAR format:
```
CuBiP2S
1.0
5.3151 0.0000 0.0000
0.0000 5.3151 0.0000
0.0000 0.0000 5.2139
S Bi Cu P
1 1 1 2
Cartesian
0.0000 0.0000 2.6069
0.0000 0.0000 0.0000
2.6575 2.6575 2.6069
0.0000 2.6575 0.0000
2.6575 0.0000 0.0000
```

Results
Fermi-level density of states, states/eV per atom: 0.843
Calculated total energy, eV per atom: -3.1481
Relative energy among the computed polymorphs, eV/f.u.: 4.41
SG: No. 123
Magnetization, Bohr magnetons per cell: 2.21